w:
CdIn2Bi: PBEsol geometry, meta-GGA SCAN.

```
data_CdIn2Bi
_cell_length_a 7.535
_cell_length_b 7.535
_cell_length_c 7.535
_cell_angle_alpha 90.00
_cell_angle_beta 90.00
_cell_angle_gamma 90.00
_symmetry_space_group_name_H-M 'F m -3 m'
_symmetry_Int_Tables_number 225
_symmetry_space_group_name_Hall '-F 4 2 3'
loop_
_atom_site_label
_atom_site_type_symbol
_atom_site_fract_x
_atom_site_fract_y
_atom_site_fract_z
Cd1 Cd 0.000 0.000 0.000
In1 In 0.250 0.250 0.250
Bi1 Bi 0.000 0.000 0.500
```

crystal system = cubic

=====

x:
CdIn2Bi: PBEsol geometry, meta-GGA SCAN.

```
data_CdIn2Bi
_cell_length_a 8.357
_cell_length_b 8.357
_cell_length_c 6.195
_cell_angle_alpha 90.00
_cell_angle_beta 90.00
_cell_angle_gamma 90.00
_symmetry_space_group_name_H-M 'I -4 2 d'
_symmetry_Int_Tables_number 122
_symmetry_space_group_name_Hall 'I -4 2bw'
loop_
_atom_site_label
_atom_site_type_symbol
_atom_site_fract_x
_atom_site_fract_y
_atom_site_fract_z
Cd1 Cd 0.000 0.000 0.000
In1 In 0.243 0.750 0.125
Bi1 Bi 0.000 0.000 0.500
```

crystal system = tetragonal

=====

Which one sits at the bottom of the stability order? w does.

=====

w:
HgBiCl3: PBEsol geometry, meta-GGA SCAN.

```
data_HgBiCl3
_cell_length_a 6.647
_cell_length_b 7.210
_cell_length_c 7.429
_cell_angle_alpha 71.38
_cell_angle_beta 65.54
_cell_angle_gamma 67.89
_symmetry_space_group_name_H-M 'P -1'
_symmetry_Int_Tables_number 2
loop_
_symmetry_equiv_pos_as_xyz
'x,y,z'
'-x,-y,-z'
loop_
_atom_site_label
_atom_site_type_symbol
_atom_site_fract_x
_atom_site_fract_y
_atom_site_fract_z
Hg1 Hg 0.184 0.082 0.004
Bi1 Bi 0.312 0.305 0.559
Cl1 Cl 0.160 0.608 0.276
Cl2 Cl 0.293 0.599 0.728
Cl3 Cl 0.300 0.045 0.376
```

crystal system = triclinic

=====

x:
HgBiCl3: PBEsol geometry, meta-GGA SCAN.

```
data_HgBiCl3
_cell_length_a 5.365
_cell_length_b 5.365
_cell_length_c 5.365
_cell_angle_alpha 90.00
_cell_angle_beta 90.00
_cell_angle_gamma 90.00
_symmetry_space_group_name_H-M 'P m -3 m'
_symmetry_Int_Tables_number 221
_symmetry_space_group_name_Hall '-P 4 2 3'
loop_
_atom_site_label
_atom_site_type_symbol
_atom_site_fract_x
_atom_site_fract_y
_atom_site_fract_z
Hg1 Hg 0.000 0.000 0.000
Bi1 Bi 0.500 0.500 0.500
Cl1 Cl 0.000 0.500 0.500
```

crystal system = cubic

=====

Which one sits at the bottom of the stability order? x does.

=====

w:
LiBiCl2: PBEsol geometry, meta-GGA SCAN.

```
data_LiBiCl2
_cell_length_a 3.5636
_cell_length_b 3.5636
_cell_length_c 24.5785
_cell_angle_alpha 90.00
_cell_angle_beta 90.00
_cell_angle_gamma 120.00
_symmetry_space_group_name_H-M 'R -3 m'
_symmetry_Int_Tables_number 166
_symmetry_space_group_name_Hall '-R 3 2"'
loop_
_atom_site_label
_atom_site_type_symbol
_atom_site_fract_x
_atom_site_fract_y
_atom_site_fract_z
Li1 Li 0.0000 0.0000 0.0000
Bi1 Bi 0.0000 0.0000 0.5000
Cl1 Cl 0.0000 0.0000 0.3901
```

crystal system = trigonal

=====

x:
LiBiCl2: PBEsol geometry, meta-GGA SCAN.

```
data_LiBiCl2
_cell_length_a 7.098
_cell_length_b 7.098
_cell_length_c 7.219
_cell_angle_alpha 90.00
_cell_angle_beta 90.00
_cell_angle_gamma 90.00
_symmetry_space_group_name_H-M 'I -4 2 d'
_symmetry_Int_Tables_number 122
_symmetry_space_group_name_Hall 'I -4 2bw'
loop_
_atom_site_label
_atom_site_type_symbol
_atom_site_fract_x
_atom_site_fract_y
_atom_site_fract_z
Li1 Li 0.000 0.000 0.000
Bi1 Bi 0.000 0.000 0.500
Cl1 Cl 0.184 0.750 0.125
```

crystal system = tetragonal

=====

Which one sits at the bottom of the stability order? x does.

=====

w:
TaBi4ClO8: PBEsol geometry, meta-GGA SCAN.

```
data_TaBi4ClO8
_cell_length_a 3.874
_cell_length_b 3.874
_cell_length_c 13.853
_cell_angle_alpha 90.00
_cell_angle_beta 90.00
_cell_angle_gamma 90.00
_symmetry_space_group_name_H-M 'P 4/m m m'
_symmetry_Int_Tables_number 123
_symmetry_space_group_name_Hall '-P 4 2'
loop_
_atom_site_label
_atom_site_type_symbol
_atom_site_fract_x
_atom_site_fract_y
_atom_site_fract_z
Ta1 Ta 0.000 0.000 0.000
Bi1 Bi 0.000 0.000 0.362
Bi2 Bi 0.500 0.500 0.182
Cl1 Cl 0.500 0.500 0.500
O1 O 0.000 0.000 0.144
O2 O 0.000 0.500 0.000
O3 O 0.000 0.500 0.284
```

crystal system = tetragonal

=====

x:
TaBi4ClO8: PBEsol geometry, meta-GGA SCAN.

```
data_TaBi4ClO8
_cell_length_a 5.465
_cell_length_b 5.500
_cell_length_c 28.622
_cell_angle_alpha 90.00
_cell_angle_beta 90.00
_cell_angle_gamma 90.00
_symmetry_space_group_name_H-M 'P b c n'
_symmetry_Int_Tables_number 60
loop_
_symmetry_equiv_pos_as_xyz
'x,y,z'
'-x,-y,-z'
'-x+1/2,-y+1/2,z+1/2'
'x+1/2,y+1/2,-z+1/2'
'x+1/2,-y+1/2,-z'
'-x+1/2,y+1/2,z'
'-x,y,-z+1/2'
'x,-y,z+1/2'
loop_
_atom_site_label
_atom_site_type_symbol
_atom_site_fract_x
_atom_site_fract_y
_atom_site_fract_z
Ta1 Ta 0.000 0.020 0.250
Bi1 Bi 0.008 0.010 0.567
Bi2 Bi 0.020 0.452 0.343
Cl1 Cl 0.000 0.500 0.000
O1 O 0.096 0.066 0.316
O2 O 0.245 0.296 0.235
O3 O 0.247 0.241 0.106
O4 O 0.248 0.252 0.896
```

crystal system = orthorhombic

=====

Which one sits at the bottom of the stability order? w does.

=====

w:
SiBi2Cl: PBEsol geometry, meta-GGA SCAN.

```
data_SiBi2Cl
_cell_length_a 8.237
_cell_length_b 8.237
_cell_length_c 6.285
_cell_angle_alpha 90.00
_cell_angle_beta 90.00
_cell_angle_gamma 90.00
_symmetry_space_group_name_H-M 'I -4 2 d'
_symmetry_Int_Tables_number 122
_symmetry_space_group_name_Hall 'I -4 2bw'
loop_
_atom_site_label
_atom_site_type_symbol
_atom_site_fract_x
_atom_site_fract_y
_atom_site_fract_z
Si1 Si 0.000 0.000 0.000
Bi1 Bi 0.205 0.750 0.125
Cl1 Cl 0.000 0.000 0.500
```

crystal system = tetragonal

=====

x:
SiBi2Cl: PBEsol geometry, meta-GGA SCAN.

```
data_SiBi2Cl
_cell_length_a 7.169
_cell_length_b 7.169
_cell_length_c 7.169
_cell_angle_alpha 90.00
_cell_angle_beta 90.00
_cell_angle_gamma 90.00
_symmetry_space_group_name_H-M 'F m -3 m'
_symmetry_Int_Tables_number 225
_symmetry_space_group_name_Hall '-F 4 2 3'
loop_
_atom_site_label
_atom_site_type_symbol
_atom_site_fract_x
_atom_site_fract_y
_atom_site_fract_z
Si1 Si 0.000 0.000 0.000
Bi1 Bi 0.250 0.250 0.250
Cl1 Cl 0.000 0.000 0.500
```

crystal system = cubic

=====

Which one sits at the bottom of the stability order? x does.

=====

w:
TcBiCl2: PBEsol geometry, meta-GGA SCAN.

```
data_TcBiCl2
_cell_length_a 3.2923
_cell_length_b 3.2923
_cell_length_c 31.8514
_cell_angle_alpha 90.00
_cell_angle_beta 90.00
_cell_angle_gamma 120.00
_symmetry_space_group_name_H-M 'R -3 m'
_symmetry_Int_Tables_number 166
_symmetry_space_group_name_Hall '-R 3 2"'
loop_
_atom_site_label
_atom_site_type_symbol
_atom_site_fract_x
_atom_site_fract_y
_atom_site_fract_z
Tc1 Tc 0.0000 0.0000 0.0000
Bi1 Bi 0.0000 0.0000 0.5000
Cl1 Cl 0.0000 0.0000 0.3797
```

crystal system = trigonal

=====

x:
TcBiCl2: PBEsol geometry, meta-GGA SCAN.

```
data_TcBiCl2
_cell_length_a 8.223
_cell_length_b 8.223
_cell_length_c 5.265
_cell_angle_alpha 90.00
_cell_angle_beta 90.00
_cell_angle_gamma 90.00
_symmetry_space_group_name_H-M 'I -4 2 d'
_symmetry_Int_Tables_number 122
_symmetry_space_group_name_Hall 'I -4 2bw'
loop_
_atom_site_label
_atom_site_type_symbol
_atom_site_fract_x
_atom_site_fract_y
_atom_site_fract_z
Tc1 Tc 0.000 0.000 0.000
Bi1 Bi 0.000 0.000 0.500
Cl1 Cl 0.132 0.750 0.125
```

crystal system = tetragonal

=====

Which one sits at the bottom of the stability order? x does.

=====

w:
Bi2Te2Cl: PBEsol geometry, meta-GGA SCAN.

```
data_Bi2Te2Cl
_cell_length_a 6.021
_cell_length_b 6.021
_cell_length_c 9.005
_cell_angle_alpha 90.00
_cell_angle_beta 90.00
_cell_angle_gamma 90.00
_symmetry_space_group_name_H-M 'I 4/m m m'
_symmetry_Int_Tables_number 139
_symmetry_space_group_name_Hall '-I 4 2'
loop_
_atom_site_label
_atom_site_type_symbol
_atom_site_fract_x
_atom_site_fract_y
_atom_site_fract_z
Bi1 Bi 0.000 0.000 0.179
Te1 Te 0.000 0.500 0.250
Cl1 Cl 0.000 0.000 0.500
```

crystal system = tetragonal

=====

x:
Bi2Te2Cl: PBEsol geometry, meta-GGA SCAN.

```
data_Bi2Te2Cl
_cell_length_a 8.214
_cell_length_b 8.214
_cell_length_c 4.258
_cell_angle_alpha 90.00
_cell_angle_beta 90.00
_cell_angle_gamma 90.00
_symmetry_space_group_name_H-M 'P 4/m b m'
_symmetry_Int_Tables_number 127
_symmetry_space_group_name_Hall '-P 4 2ab'
loop_
_atom_site_label
_atom_site_type_symbol
_atom_site_fract_x
_atom_site_fract_y
_atom_site_fract_z
Bi1 Bi 0.153 0.347 0.000
Te1 Te 0.152 0.652 0.500
Cl1 Cl 0.000 0.000 0.000
```

crystal system = tetragonal

=====

Which one sits at the bottom of the stability order? w does.

=====

w:
YCoBiH2: PBEsol geometry, meta-GGA SCAN.

```
data_YCoBiH2
_cell_length_a 4.073
_cell_length_b 4.073
_cell_length_c 4.899
_cell_angle_alpha 90.00
_cell_angle_beta 90.00
_cell_angle_gamma 90.00
_symmetry_space_group_name_H-M 'P 4/m m m'
_symmetry_Int_Tables_number 123
_symmetry_space_group_name_Hall '-P 4 2'
loop_
_atom_site_label
_atom_site_type_symbol
_atom_site_fract_x
_atom_site_fract_y
_atom_site_fract_z
Y1 Y 0.000 0.000 0.000
Co1 Co 0.500 0.500 0.500
Bi1 Bi 0.500 0.500 0.000
H1 H 0.000 0.500 0.500
```

crystal system = tetragonal

=====

x:
YCoBiH2: PBEsol geometry, meta-GGA SCAN.

```
data_YCoBiH2
_cell_length_a 4.023
_cell_length_b 4.023
_cell_length_c 4.996
_cell_angle_alpha 90.00
_cell_angle_beta 90.00
_cell_angle_gamma 90.00
_symmetry_space_group_name_H-M 'P 4/m m m'
_symmetry_Int_Tables_number 123
_symmetry_space_group_name_Hall '-P 4 2'
loop_
_atom_site_label
_atom_site_type_symbol
_atom_site_fract_x
_atom_site_fract_y
_atom_site_fract_z
Y1 Y 0.000 0.000 0.000
Co1 Co 0.500 0.500 0.000
Bi1 Bi 0.500 0.500 0.500
H1 H 0.000 0.500 0.500
```

crystal system = tetragonal

=====

Which one sits at the bottom of the stability order? x does.

=====

w:
La3CoBi: PBEsol geometry, meta-GGA SCAN.

```
data_La3CoBi
_cell_length_a 5.236
_cell_length_b 5.236
_cell_length_c 5.236
_cell_angle_alpha 90.00
_cell_angle_beta 90.00
_cell_angle_gamma 90.00
_symmetry_space_group_name_H-M 'P m -3 m'
_symmetry_Int_Tables_number 221
_symmetry_space_group_name_Hall '-P 4 2 3'
loop_
_atom_site_label
_atom_site_type_symbol
_atom_site_fract_x
_atom_site_fract_y
_atom_site_fract_z
La1 La 0.000 0.000 0.500
Co1 Co 0.000 0.000 0.000
Bi1 Bi 0.500 0.500 0.500
```

crystal system = cubic

=====

x:
La3CoBi: PBEsol geometry, meta-GGA SCAN.

```
data_La3CoBi
_cell_length_a 7.443
_cell_length_b 7.443
_cell_length_c 10.409
_cell_angle_alpha 90.00
_cell_angle_beta 90.00
_cell_angle_gamma 90.00
_symmetry_space_group_name_H-M 'I 4/m c m'
_symmetry_Int_Tables_number 140
_symmetry_space_group_name_Hall '-I 4 2c'
loop_
_atom_site_label
_atom_site_type_symbol
_atom_site_fract_x
_atom_site_fract_y
_atom_site_fract_z
La1 La 0.000 0.500 0.250
La2 La 0.237 0.263 0.000
Co1 Co 0.000 0.500 0.000
Bi1 Bi 0.000 0.000 0.250
```

crystal system = tetragonal

=====

Which one sits at the bottom of the stability order? w does.

=====

w:
TlCo2Bi: PBEsol geometry, meta-GGA SCAN.

```
data_TlCo2Bi
_cell_length_a 6.922
_cell_length_b 6.922
_cell_length_c 6.107
_cell_angle_alpha 90.00
_cell_angle_beta 90.00
_cell_angle_gamma 90.00
_symmetry_space_group_name_H-M 'I -4 2 d'
_symmetry_Int_Tables_number 122
_symmetry_space_group_name_Hall 'I -4 2bw'
loop_
_atom_site_label
_atom_site_type_symbol
_atom_site_fract_x
_atom_site_fract_y
_atom_site_fract_z
Tl1 Tl 0.000 0.000 0.000
Co1 Co 0.244 0.250 0.625
Bi1 Bi 0.000 0.000 0.500
```

crystal system = tetragonal

=====

x:
TlCo2Bi: PBEsol geometry, meta-GGA SCAN.

```
data_TlCo2Bi
_cell_length_a 6.449
_cell_length_b 6.449
_cell_length_c 6.449
_cell_angle_alpha 90.00
_cell_angle_beta 90.00
_cell_angle_gamma 90.00
_symmetry_space_group_name_H-M 'F m -3 m'
_symmetry_Int_Tables_number 225
_symmetry_space_group_name_Hall '-F 4 2 3'
loop_
_atom_site_label
_atom_site_type_symbol
_atom_site_fract_x
_atom_site_fract_y
_atom_site_fract_z
Tl1 Tl 0.000 0.000 0.000
Co1 Co 0.250 0.250 0.250
Bi1 Bi 0.000 0.000 0.500
```

crystal system = cubic

=====

Which one sits at the bottom of the stability order? w does.

=====

w:
CrBiF2: PBEsol geometry, meta-GGA SCAN.

```
data_CrBiF2
_cell_length_a 6.186
_cell_length_b 6.186
_cell_length_c 8.443
_cell_angle_alpha 90.00
_cell_angle_beta 90.00
_cell_angle_gamma 90.00
_symmetry_space_group_name_H-M 'I -4 2 d'
_symmetry_Int_Tables_number 122
_symmetry_space_group_name_Hall 'I -4 2bw'
loop_
_atom_site_label
_atom_site_type_symbol
_atom_site_fract_x
_atom_site_fract_y
_atom_site_fract_z
Cr1 Cr 0.000 0.000 0.000
Bi1 Bi 0.000 0.000 0.500
F1 F 0.057 0.750 0.125
```

crystal system = tetragonal

=====

x:
CrBiF2: PBEsol geometry, meta-GGA SCAN.

```
data_CrBiF2
_cell_length_a 3.2097
_cell_length_b 3.2097
_cell_length_c 23.8550
_cell_angle_alpha 90.00
_cell_angle_beta 90.00
_cell_angle_gamma 120.00
_symmetry_space_group_name_H-M 'R -3 m'
_symmetry_Int_Tables_number 166
_symmetry_space_group_name_Hall '-R 3 2"'
loop_
_atom_site_label
_atom_site_type_symbol
_atom_site_fract_x
_atom_site_fract_y
_atom_site_fract_z
Cr1 Cr 0.0000 0.0000 0.0000
Bi1 Bi 0.0000 0.0000 0.5000
F1 F 0.0000 0.0000 0.0795
```

crystal system = trigonal

=====

Which one sits at the bottom of the stability order? x does.

=====

w:
CrBiIr3: PBEsol geometry, meta-GGA SCAN.

```
data_CrBiIr3
_cell_length_a 4.520
_cell_length_b 4.520
_cell_length_c 4.520
_cell_angle_alpha 90.00
_cell_angle_beta 90.00
_cell_angle_gamma 90.00
_symmetry_space_group_name_H-M 'P m -3 m'
_symmetry_Int_Tables_number 221
_symmetry_space_group_name_Hall '-P 4 2 3'
loop_
_atom_site_label
_atom_site_type_symbol
_atom_site_fract_x
_atom_site_fract_y
_atom_site_fract_z
Cr1 Cr 0.000 0.000 0.000
Bi1 Bi 0.500 0.500 0.500
Ir1 Ir 0.000 0.000 0.500
```

crystal system = cubic

=====

x:
CrBiIr3: PBEsol geometry, meta-GGA SCAN.

```
data_CrBiIr3
_cell_length_a 4.886
_cell_length_b 4.886
_cell_length_c 4.886
_cell_angle_alpha 90.00
_cell_angle_beta 90.00
_cell_angle_gamma 90.00
_symmetry_space_group_name_H-M 'P m -3 m'
_symmetry_Int_Tables_number 221
_symmetry_space_group_name_Hall '-P 4 2 3'
loop_
_atom_site_label
_atom_site_type_symbol
_atom_site_fract_x
_atom_site_fract_y
_atom_site_fract_z
Cr1 Cr 0.000 0.000 0.000
Bi1 Bi 0.500 0.500 0.500
Ir1 Ir 0.000 0.500 0.500
```

crystal system = cubic

=====

Which one sits at the bottom of the stability order? x does.